[1]
## TbPrNd2Dy5 (PBE)

Data for a geometry-optimized TbPrNd2Dy5 structure.

Structure (CIF):
```
data_TbPrNd2Dy5
_cell_length_a 8.761
_cell_length_b 8.761
_cell_length_c 15.556
_cell_angle_alpha 90.00
_cell_angle_beta 90.00
_cell_angle_gamma 90.00
_space_group_name_H-M_alt 'I 4/m c m'
_space_group_IT_number 140
_space_group_name_Hall '-I 4 2c'
loop_
_atom_site_label
_atom_site_type_symbol
_atom_site_fract_x
_atom_site_fract_y
_atom_site_fract_z
_atom_site_occupancy
Tb1 Tb 0.000 0.500 0.250 1
Pr1 Pr 0.000 0.000 0.250 1
Nd1 Nd 0.117 0.383 0.000 1
Dy1 Dy 0.000 0.000 0.000 1
Dy2 Dy 0.210 0.290 0.363 1
```

N(E_F)	1.12	states/eV/atom
calculated formation energy	0.260	eV/atom
uncorrected energy	-4.40	eV per atom
spin magnetization	0.0	μB per cell

[2]
## Na2MgTlH (PBE)

Data for a geometry-optimized Na2MgTlH structure.

Structure (CIF):
```
data_Na2MgTlH
_cell_length_a 4.807
_cell_length_b 4.807
_cell_length_c 4.492
_cell_angle_alpha 90.00
_cell_angle_beta 90.00
_cell_angle_gamma 90.00
_space_group_name_H-M_alt 'P 4/m m m'
_space_group_IT_number 123
_space_group_name_Hall '-P 4 2'
loop_
_atom_site_label
_atom_site_type_symbol
_atom_site_fract_x
_atom_site_fract_y
_atom_site_fract_z
_atom_site_occupancy
Na1 Na 0.000 0.500 0.000 1
Mg1 Mg 0.000 0.000 0.500 1
Tl1 Tl 0.500 0.500 0.500 1
H1 H 0.000 0.000 0.000 1
```

N(E_F)	0.44	states/eV/atom
uncorrected energy	-2.02	eV per atom
spin magnetization	0.0	μB per cell

[3]
## SnRuSe2 (PBE)

Data for a geometry-optimized SnRuSe2 structure.

Structure (CIF):
```
data_SnRuSe2
_cell_length_a 6.413
_cell_length_b 6.413
_cell_length_c 10.540
_cell_angle_alpha 90.00
_cell_angle_beta 90.00
_cell_angle_gamma 90.00
_space_group_name_H-M_alt 'I -4 2 d'
_space_group_IT_number 122
_space_group_name_Hall 'I -4 2bw'
loop_
_atom_site_label
_atom_site_type_symbol
_atom_site_fract_x
_atom_site_fract_y
_atom_site_fract_z
_atom_site_occupancy
Sn1 Sn 0.000 0.000 0.000 1
Ru1 Ru 0.000 0.000 0.500 1
Se1 Se 0.184 0.250 0.625 1
```

N(E_F)	0.24	states/eV/atom
uncorrected energy	-5.02	eV per atom
raw formation energy	0.2	eV per formula unit
spin magnetization	0.0	μB per cell

[4]
## Cs3Sc3TaSe8 (PBE)

Data for a geometry-optimized Cs3Sc3TaSe8 structure.

Structure (CIF):
```
data_Cs3Sc3TaSe8
_cell_length_a 13.619
_cell_length_b 7.859
_cell_length_c 9.645
_cell_angle_alpha 90.00
_cell_angle_beta 118.12
_cell_angle_gamma 90.00
_space_group_name_H-M_alt 'C 1 2/m 1'
_space_group_IT_number 12
_space_group_name_Hall '-C 2y'
loop_
_atom_site_label
_atom_site_type_symbol
_atom_site_fract_x
_atom_site_fract_y
_atom_site_fract_z
_atom_site_occupancy
Cs1 Cs 0.000 0.000 0.000 1
Cs2 Cs 0.250 0.250 0.000 1
Sc1 Sc 0.000 0.500 0.500 1
Sc2 Sc 0.250 0.250 0.500 1
Ta1 Ta 0.000 0.000 0.500 1
Se1 Se 0.022 0.243 0.325 1
Se2 Se 0.220 0.000 0.675 1
Se3 Se 0.226 0.500 0.678 1
```

N(E_F)	0.27	states/eV/atom
uncorrected energy	-5.48	eV per atom
raw formation energy	-21.0	eV per formula unit
spin magnetization	1.8	μB per cell

[5]
## TiBe (PBE)

Data for a geometry-optimized TiBe structure.

Structure (CIF):
```
data_TiBe
_cell_length_a 4.1357
_cell_length_b 4.1357
_cell_length_c 4.7994
_cell_angle_alpha 90.00
_cell_angle_beta 90.00
_cell_angle_gamma 120.00
_space_group_name_H-M_alt 'P 63/m m c'
_space_group_IT_number 194
_space_group_name_Hall '-P 6c 2c'
loop_
_atom_site_label
_atom_site_type_symbol
_atom_site_fract_x
_atom_site_fract_y
_atom_site_fract_z
_atom_site_occupancy
Ti1 Ti 0.3333 0.6667 0.2500 1
Be1 Be 0.3333 0.6667 0.7500 1
```

N(E_F)	1.81	states/eV/atom
calculated formation energy	1.099	eV/atom
uncorrected energy	-4.71	eV per atom
spin magnetization	2.0	μB per cell
ΔE to the lowest computed polymorph	1.2450	eV/atom

[6]
## Mn3As (PBE)

Data for a geometry-optimized Mn3As structure.

Structure (CIF):
```
data_Mn3As
_cell_length_a 3.820
_cell_length_b 3.827
_cell_length_c 6.805
_cell_angle_alpha 90.00
_cell_angle_beta 90.00
_cell_angle_gamma 90.00
_space_group_name_H-M_alt 'C m m m'
_space_group_IT_number 65
_space_group_name_Hall '-C 2 2'
loop_
_atom_site_label
_atom_site_type_symbol
_atom_site_fract_x
_atom_site_fract_y
_atom_site_fract_z
_atom_site_occupancy
Mn1 Mn 0.000 0.000 0.000 1
Mn2 Mn 0.000 0.500 0.241 1
As1 As 0.000 0.000 0.500 1
```

N(E_F)	0.76	states/eV/atom
calculated formation energy	0.140	eV/atom
uncorrected energy	-7.90	eV per atom
spin magnetization	3.8	μB per cell